[1]
Entry from Alexandria: an optimized crystal structure of MnIr8Ru2 (PBE).

crystal system = orthorhombic
total moment = 1.21 μB/f.u.
energy relative to the elements = 0.127 eV per atom

a b c (Å): 3.812 7.597 11.431
angles (deg): 90.00 90.00 90.00
Space group Immm (No. 71)
Symmetry-distinct sites (fractional):
1 Mn 0.000 0.000 0.000
2 Ir 0.000 0.249 0.162
3 Ir 0.000 0.257 0.500
4 Ir 0.000 0.500 0.325
5 Ru 0.000 0.000 0.336

[2]
Entry from Alexandria: an optimized crystal structure of AcCuP2 (PBE).

crystal system = orthorhombic
total moment = 0.00 μB/f.u.
energy relative to the elements = -0.812 eV per atom

a b c (Å): 5.624 20.902 5.627
angles (deg): 90.00 90.00 90.00
Space group Fmm2 (No. 42)
Symmetry-distinct sites (fractional):
1 Ac 0.000 0.119 0.000
2 Cu 0.250 0.250 0.251
3 P 0.000 0.184 0.501
4 P 0.201 0.000 0.716

[3]
Entry from Alexandria: an optimized crystal structure of Sr3HgI (PBE).

crystal system = cubic
ΔE_f (raw) = -0.460 eV per atom
total moment = 0.00 μB/f.u.

a b c (Å): 6.290 6.290 6.290
angles (deg): 90.00 90.00 90.00
Space group Pm-3m (No. 221)
Symmetry-distinct sites (fractional):
1 Sr 0.000 0.000 0.500
2 Hg 0.000 0.000 0.000
3 I 0.500 0.500 0.500

What did the third record say?
Entry from Alexandria: an optimized crystal structure of Sr3HgI (PBE).

crystal system = cubic
ΔE_f (raw) = -0.460 eV per atom
total moment = 0.00 μB/f.u.

a b c (Å): 6.290 6.290 6.290
angles (deg): 90.00 90.00 90.00
Space group Pm-3m (No. 221)
Symmetry-distinct sites (fractional):
1 Sr 0.000 0.000 0.500
2 Hg 0.000 0.000 0.000
3 I 0.500 0.500 0.500

Question: Which value of total moment does entry 3 give?
Answer: 0.00 μB/f.u.

Question: Number 1 is which compound?
Answer: MnIr8Ru2